(1)
# Rh2CS2

A geometry-optimized Rh2CS2 structure (PBE, Alexandria).

Properties
- N(E_F) (states/eV/f.u.) = 2.83
- raw total energy (eV/atom) = -5.23
- energy relative to the lowest polymorph listed for this composition (meV/atom) = 46
- raw formation energy (meV per atom) = 1201
- space-group type = P4/mbm

abc: 6.596 6.596 3.259
angles: 90.00 90.00 90.00
Element x y z (fractional)
1 C 0.000 0.000 0.000
2 Rh 0.828 0.328 0.500
3 S 0.657 0.157 0.000
4 Rh 0.672 0.828 0.500
5 S 0.343 0.843 0.000
6 Rh 0.172 0.672 0.500
7 C 0.500 0.500 0.000
8 S 0.157 0.343 0.000
9 S 0.843 0.657 0.000
10 Rh 0.328 0.172 0.500

---

(2)
# Rh2CS

A geometry-optimized Rh2CS structure (PBE, Alexandria).

Properties
- N(E_F) (states/eV/f.u.) = 3.95
- raw total energy (eV/atom) = -6.06
- energy relative to the lowest polymorph listed for this composition (meV/atom) = 812
- raw formation energy (meV per atom) = 955
- space-group type = Fm-3m

abc: 4.085 4.085 4.085
angles: 60.00 60.00 60.00
Element x y z (fractional)
1 C 0.000 0.000 0.000
2 Rh 0.250 0.250 0.250
3 S 0.500 0.500 0.500
4 Rh 0.750 0.750 0.750

---

(3)
# RhCS3

A geometry-optimized RhCS3 structure (PBE, Alexandria).

Properties
- N(E_F) (states/eV/f.u.) = 3.32
- raw total energy (eV/atom) = -4.53
- energy relative to the lowest polymorph listed for this composition (meV/atom) = 0
- raw formation energy (meV per atom) = 1265
- space-group type = Pm-3m

abc: 4.042 4.042 4.042
angles: 90.00 90.00 90.00
Element x y z (fractional)
1 C 0.000 0.000 0.000
2 Rh 0.500 0.500 0.500
3 S 0.000 0.500 0.000
4 S 0.500 0.000 0.000
5 S 0.000 0.000 0.500

---

(4)
# RhCS2

A geometry-optimized RhCS2 structure (PBE, Alexandria).

Properties
- N(E_F) (states/eV/f.u.) = 2.23
- raw total energy (eV/atom) = -5.47
- raw formation energy (meV per atom) = 741
- space-group type = I-42d

abc: 5.063 5.063 5.727
angles: 63.77 63.77 90.00
Element x y z (fractional)
1 Rh 0.750 0.250 0.500
2 C 0.250 0.750 0.500
3 Rh 0.000 0.000 0.000
4 C 0.500 0.500 0.000
5 S 0.182 0.625 0.250
6 S 0.875 0.818 0.750
7 S 0.568 0.125 0.250
8 S 0.375 0.432 0.750

---

(5)
# Rh2CS

A geometry-optimized Rh2CS structure (PBE, Alexandria).

Properties
- N(E_F) (states/eV/f.u.) = 2.26
- raw total energy (eV/atom) = -6.87
- energy relative to the lowest polymorph listed for this composition (meV/atom) = 0
- raw formation energy (meV per atom) = 143
- space-group type = I-42d

abc: 4.865 4.865 6.127
angles: 66.61 66.61 90.00
Element x y z (fractional)
1 C 0.250 0.750 0.500
2 Rh 0.188 0.625 0.250
3 Rh 0.562 0.125 0.250
4 Rh 0.375 0.438 0.750
5 S 0.750 0.250 0.500
6 C 0.500 0.500 0.000
7 S 0.000 0.000 0.000
8 Rh 0.875 0.812 0.750

---

(6)
# SbRhC2S

A geometry-optimized SbRhC2S structure (PBE, Alexandria).

Properties
- N(E_F) (states/eV/f.u.) = 1.98
- raw total energy (eV/atom) = -5.57
- raw formation energy (meV per atom) = 1244
- space-group type = P4/mmm

abc: 3.861 5.962 3.861
angles: 90.00 90.00 90.00
Element x y z (fractional)
1 Rh 0.000 0.000 0.000
2 Sb 0.000 0.500 0.000
3 C 0.500 0.000 0.000
4 C 0.000 0.000 0.500
5 S 0.500 0.500 0.500